KFeAu2: relaxed, GGA-PBEsol.

```
4
Lattice="2.7916 0.0000 0.0000 0.0000 3.6098 0.0000 0.0000 0.0000 7.8626" Properties=species:S:1:pos:R:3 pbc="T T T"
K 0.0000 0.0000 0.0000
Fe 0.0000 0.0000 3.9313
Au 1.3958 1.8049 2.5013
Au 1.3958 1.8049 5.3613
```

Properties
**M_tot**: 0.7710 μB per atom
**Crystal system**: orthorhombic
**Electronic total energy**: -4.307 eV per atom
**Space-group type**: Pmmm, No. 47